No. 1
# SrBiRhI2, optimized geometry, DFT PBE
data_SrBiRhI2
_cell_length_a 6.133
_cell_length_b 6.133
_cell_length_c 5.245
_cell_angle_alpha 90.00
_cell_angle_beta 90.00
_cell_angle_gamma 90.00
_symmetry_space_group_name_H-M 'P 4/m m m'
_symmetry_Int_Tables_number 123
_symmetry_space_group_name_Hall '-P 4 2'
loop_
_atom_site_label
_atom_site_type_symbol
_atom_site_fract_x
_atom_site_fract_y
_atom_site_fract_z
_atom_site_occupancy
Sr1 Sr 0.000 0.000 0.000 1
Bi1 Bi 0.500 0.500 0.500 1
Rh1 Rh 0.000 0.000 0.500 1
I1 I 0.000 0.500 0.000 1
# V in Å³ per cell: 197.2
# Raw formation energy in eV/atom: 0.4599

No. 2
# CoAu3S, optimized geometry, DFT PBE
data_CoAu3S
_cell_length_a 4.760
_cell_length_b 4.760
_cell_length_c 4.760
_cell_angle_alpha 90.00
_cell_angle_beta 90.00
_cell_angle_gamma 90.00
_symmetry_space_group_name_H-M 'P m -3 m'
_symmetry_Int_Tables_number 221
_symmetry_space_group_name_Hall '-P 4 2 3'
loop_
_atom_site_label
_atom_site_type_symbol
_atom_site_fract_x
_atom_site_fract_y
_atom_site_fract_z
_atom_site_occupancy
Co1 Co 0.000 0.000 0.000 1
Au1 Au 0.000 0.000 0.500 1
S1 S 0.500 0.500 0.500 1
# V in Å³ per cell: 107.9
# Raw formation energy in eV/atom: 1.0584